## 1
# ZrTa2Au

A PBEsol-optimized structure of ZrTa2Au (meta-GGA SCAN, the Alexandria database).

a = 4.677 Å, b = 4.677 Å, c = 4.677 Å
α = 60.00°, β = 60.00°, γ = 60.00°
Atoms (fractional coordinates):
1 Au 0.500 0.500 0.500
2 Ta 0.000 0.000 0.000
3 Ta 0.750 0.750 0.750
4 Zr 0.250 0.250 0.250

Spin magnetization, Bohr magnetons per cell: 0.0
Calculated volume, Å³ per cell: 72
N(E_F), states/eV/atom: 0.818
Crystal system: cubic

## 2
# ZrTa2Au

A PBEsol-optimized structure of ZrTa2Au (meta-GGA SCAN, the Alexandria database).

a = 2.882 Å, b = 2.882 Å, c = 8.976 Å
α = 90.00°, β = 90.00°, γ = 102.31°
Atoms (fractional coordinates):
1 Au 0.500 0.500 0.242
2 Ta 0.000 0.000 0.002
3 Ta 0.500 0.500 0.758
4 Zr 0.000 0.000 0.497

Spin magnetization, Bohr magnetons per cell: 0.0
Calculated volume, Å³ per cell: 73
N(E_F), states/eV/atom: 1.005
Crystal system: orthorhombic

## 3
# ZrTa2Au

A PBEsol-optimized structure of ZrTa2Au (meta-GGA SCAN, the Alexandria database).

a = 3.496 Å, b = 4.484 Å, c = 4.620 Å
α = 90.00°, β = 90.00°, γ = 90.00°
Atoms (fractional coordinates):
1 Au 0.000 0.500 0.500
2 Ta 0.000 0.000 0.000
3 Ta 0.500 0.500 0.000
4 Zr 0.500 0.000 0.500

Spin magnetization, Bohr magnetons per cell: 0.0
Calculated volume, Å³ per cell: 72
N(E_F), states/eV/atom: 0.911
Crystal system: orthorhombic

Most favorable first, least favorable last: 3, 2, 1

## 1
# TcTe2Au

A PBEsol-optimized structure of TcTe2Au (meta-GGA SCAN, the Alexandria database).

a = 3.398 Å, b = 4.828 Å, c = 4.828 Å
α = 98.40°, β = 90.00°, γ = 90.00°
Site moments in Bohr magnetons follow the coordinates.
Atoms (fractional coordinates):
1 Au 0.500 0.000 0.000  0.00
2 Tc 0.500 0.500 0.500  -1.00
3 Te 0.000 0.500 0.000  0.01
4 Te 0.000 0.000 0.500  0.01

Spin magnetization, Bohr magnetons per cell: 1.0
Calculated volume, Å³ per cell: 78
N(E_F), states/eV/atom: 0.761
Crystal system: orthorhombic

## 2
# TcTe2Au

A PBEsol-optimized structure of TcTe2Au (meta-GGA SCAN, the Alexandria database).

a = 3.206 Å, b = 5.161 Å, c = 6.281 Å
α = 105.03°, β = 90.00°, γ = 108.09°
Atoms (fractional coordinates):
1 Au 0.565 0.131 0.662
2 Tc 0.280 0.560 0.621
3 Te 0.926 0.851 0.936
4 Te 0.729 0.458 0.281

Spin magnetization, Bohr magnetons per cell: 0.0
Calculated volume, Å³ per cell: 95
N(E_F), states/eV/atom: 0.540
Crystal system: monoclinic

## 3
# TcTe2Au

A PBEsol-optimized structure of TcTe2Au (meta-GGA SCAN, the Alexandria database).

a = 3.028 Å, b = 3.028 Å, c = 10.167 Å
α = 90.00°, β = 90.00°, γ = 116.00°
Atoms (fractional coordinates):
1 Au 0.500 0.500 0.500
2 Tc 0.500 0.500 0.000
3 Te 0.000 0.000 0.214
4 Te 0.000 0.000 0.786

Spin magnetization, Bohr magnetons per cell: 0.0
Calculated volume, Å³ per cell: 84
N(E_F), states/eV/atom: 0.773
Crystal system: orthorhombic

## 4
# TcTe2Au

A PBEsol-optimized structure of TcTe2Au (meta-GGA SCAN, the Alexandria database).

a = 3.254 Å, b = 4.071 Å, c = 8.332 Å
α = 77.68°, β = 78.74°, γ = 66.44°
Atoms (fractional coordinates):
1 Au 0.000 0.000 0.000
2 Tc 0.500 0.500 0.500
3 Te 0.856 0.968 0.319
4 Te 0.144 0.032 0.681

Spin magnetization, Bohr magnetons per cell: 0.0
Calculated volume, Å³ per cell: 98
N(E_F), states/eV/atom: 0.092
Crystal system: monoclinic

Most favorable first, least favorable last: 4, 2, 3, 1

## 1
# Tc2WAu

A PBEsol-optimized structure of Tc2WAu (meta-GGA SCAN, the Alexandria database).

a = 3.956 Å, b = 3.956 Å, c = 4.728 Å
α = 114.73°, β = 114.73°, γ = 90.00°
Atoms (fractional coordinates):
1 Au 0.000 0.000 0.000
2 Tc 0.750 0.250 0.500
3 Tc 0.250 0.750 0.500
4 W 0.500 0.500 0.000

Spin magnetization, Bohr magnetons per cell: 0.0
Calculated volume, Å³ per cell: 60
N(E_F), states/eV/atom: 0.826
Crystal system: tetragonal

## 2
# Tc2WAu

A PBEsol-optimized structure of Tc2WAu (meta-GGA SCAN, the Alexandria database).

a = 3.803 Å, b = 3.948 Å, c = 3.948 Å
α = 90.00°, β = 90.00°, γ = 90.00°
Atoms (fractional coordinates):
1 Au 0.500 0.000 0.000
2 Tc 0.000 0.000 0.500
3 Tc 0.000 0.500 0.000
4 W 0.500 0.500 0.500

Spin magnetization, Bohr magnetons per cell: 0.0
Calculated volume, Å³ per cell: 59
N(E_F), states/eV/atom: 0.643
Crystal system: tetragonal

Most favorable first, least favorable last: 2, 1